# 1
Np5Bi2S12 | PBE-GGA | relaxed

Calculated values
Total magnetic moment   0.895 μB per atom
Total DFT energy (no corrections)   -281.625 eV for the cell shown
Density of states at the Fermi level   42.077 states/eV/f.u.
Mass density   6.7 g/cm³

Geometry as CIF:
```
data_Np5Bi2S12
_symmetry_space_group_name_H-M 'C 1 2/m 1'
_symmetry_Int_Tables_number 12
_cell_length_a 14.4693
_cell_length_b 7.7173
_cell_length_c 9.3679
_cell_angle_alpha 90.00
_cell_angle_beta 109.67
_cell_angle_gamma 90.00
loop_
_symmetry_equiv_pos_as_xyz
'x,y,z'
'-x,-y,-z'
'-x,y,-z'
'x,-y,z'
'x+1/2,y+1/2,z'
'-x+1/2,-y+1/2,-z'
'-x+1/2,y+1/2,-z'
'x+1/2,-y+1/2,z'
loop_
_atom_site_label
_atom_site_type_symbol
_atom_site_fract_x
_atom_site_fract_y
_atom_site_fract_z
Np1 Np 0.0000 0.0000 0.0000
Np2 Np 0.2107 0.5000 0.8966
Np3 Np 0.2353 0.5000 0.4703
Bi1 Bi 0.0000 0.2470 0.5000
S1 S 0.0308 0.5000 0.3170
S2 S 0.0776 0.0000 0.3219
S3 S 0.1345 0.2269 0.9983
S4 S 0.2006 0.2681 0.6599
```

# 2
NpBiS3 | PBE-GGA | relaxed

Calculated values
Total magnetic moment   0.755 μB per atom
Total DFT energy (no corrections)   -133.467 eV for the cell shown
Excess energy over the best structure of this formula in the dataset   0.0000 eV per atom
Density of states at the Fermi level   10.200 states/eV/f.u.
Mass density   7.6 g/cm³

Geometry as CIF:
```
data_NpBiS3
_symmetry_space_group_name_H-M 'P n m a'
_symmetry_Int_Tables_number 62
_cell_length_a 7.4376
_cell_length_b 4.1729
_cell_length_c 15.2346
_cell_angle_alpha 90.00
_cell_angle_beta 90.00
_cell_angle_gamma 90.00
loop_
_symmetry_equiv_pos_as_xyz
'x,y,z'
'-x,-y,-z'
'-x+1/2,-y,z+1/2'
'x+1/2,y,-z+1/2'
'x+1/2,-y+1/2,-z+1/2'
'-x+1/2,y+1/2,z+1/2'
'-x,y+1/2,-z'
'x,-y+1/2,z'
loop_
_atom_site_label
_atom_site_type_symbol
_atom_site_fract_x
_atom_site_fract_y
_atom_site_fract_z
Np1 Np 0.2490 0.2500 0.0282
Bi1 Bi 0.0647 0.2500 0.7740
S1 S 0.0345 0.2500 0.5935
S2 S 0.1183 0.7500 0.9340
S3 S 0.1947 0.2500 0.2170
```

# 3
NpTl2BiS4 | PBE-GGA | relaxed

Calculated values
Total magnetic moment   0.495 μB per atom
Total DFT energy (no corrections)   -43.718 eV for the cell shown
Density of states at the Fermi level   9.141 states/eV/f.u.
Mass density   7.4 g/cm³

Geometry as CIF:
```
data_NpTl2BiS4
_symmetry_space_group_name_H-M 'P 1 2/m 1'
_symmetry_Int_Tables_number 10
_cell_length_a 7.1353
_cell_length_b 4.1261
_cell_length_c 7.8603
_cell_angle_alpha 90.00
_cell_angle_beta 107.53
_cell_angle_gamma 90.00
loop_
_symmetry_equiv_pos_as_xyz
'x,y,z'
'-x,-y,-z'
'-x,y,-z'
'x,-y,z'
loop_
_atom_site_label
_atom_site_type_symbol
_atom_site_fract_x
_atom_site_fract_y
_atom_site_fract_z
Np1 Np 0.0000 0.0000 0.0000
Tl1 Tl 0.0000 0.5000 0.5000
Tl2 Tl 0.5000 0.0000 0.5000
Bi1 Bi 0.5000 0.5000 0.0000
S1 S 0.2227 0.5000 0.1981
S2 S 0.2585 0.0000 0.7947
```

# 4
NpTl2Bi2S6 | PBE-GGA | relaxed

Calculated values
Total magnetic moment   0.273 μB per atom
Total DFT energy (no corrections)   -114.817 eV for the cell shown
Density of states at the Fermi level   4.812 states/eV/f.u.
Mass density   6.4 g/cm³

Geometry as CIF:
```
data_NpTl2Bi2S6
_symmetry_space_group_name_H-M 'C 1 2/m 1'
_symmetry_Int_Tables_number 12
_cell_length_a 7.0865
_cell_length_b 12.2577
_cell_length_c 7.9157
_cell_angle_alpha 90.00
_cell_angle_beta 107.91
_cell_angle_gamma 90.00
loop_
_symmetry_equiv_pos_as_xyz
'x,y,z'
'-x,-y,-z'
'-x,y,-z'
'x,-y,z'
'x+1/2,y+1/2,z'
'-x+1/2,-y+1/2,-z'
'-x+1/2,y+1/2,-z'
'x+1/2,-y+1/2,z'
loop_
_atom_site_label
_atom_site_type_symbol
_atom_site_fract_x
_atom_site_fract_y
_atom_site_fract_z
Np1 Np 0.0000 0.0000 0.0000
Tl1 Tl 0.0000 0.1686 0.5000
Bi1 Bi 0.0000 0.3320 0.0000
S1 S 0.2262 0.1609 0.1991
S2 S 0.2444 0.0000 0.7976
```

# 5
Np3Tl3BiS8 | PBE-GGA | relaxed

Calculated values
Total magnetic moment   0.733 μB per atom
Total DFT energy (no corrections)   -289.907 eV for the cell shown
Density of states at the Fermi level   32.077 states/eV/f.u.
Mass density   6.9 g/cm³

Geometry as CIF:
```
data_Np3Tl3BiS8
_symmetry_space_group_name_H-M 'R -3 m'
_symmetry_Int_Tables_number 166
_symmetry_space_group_name_Hall '-R 3 2"'
_cell_length_a 8.1195
_cell_length_b 8.1195
_cell_length_c 22.5097
_cell_angle_alpha 90.00
_cell_angle_beta 90.00
_cell_angle_gamma 120.00
loop_
_atom_site_label
_atom_site_type_symbol
_atom_site_fract_x
_atom_site_fract_y
_atom_site_fract_z
Np1 Np 0.0000 0.5000 0.0000
Tl1 Tl 0.0000 0.5000 0.5000
Bi1 Bi 0.0000 0.0000 0.0000
S1 S 0.0000 0.0000 0.2691
S2 S 0.0120 0.5060 0.2678
```

# 6
NpBi2Sb | PBE-GGA | relaxed

Calculated values
Total magnetic moment   1.058 μB per atom
Total DFT energy (no corrections)   -24.547 eV for the cell shown
Excess energy over the best structure of this formula in the dataset   0.1002 eV per atom
Density of states at the Fermi level   11.153 states/eV/f.u.
Mass density   11.0 g/cm³

Geometry as CIF:
```
data_NpBi2Sb
_symmetry_space_group_name_H-M 'P 4/m m m'
_symmetry_Int_Tables_number 123
_symmetry_space_group_name_Hall '-P 4 2'
_cell_length_a 4.3302
_cell_length_b 4.3302
_cell_length_c 6.2698
_cell_angle_alpha 90.00
_cell_angle_beta 90.00
_cell_angle_gamma 90.00
loop_
_atom_site_label
_atom_site_type_symbol
_atom_site_fract_x
_atom_site_fract_y
_atom_site_fract_z
Np1 Np 0.0000 0.0000 0.0000
Bi1 Bi 0.5000 0.5000 0.2457
Sb1 Sb 0.0000 0.0000 0.5000
```

# 7
NpBi2Sb | PBE-GGA | relaxed

Calculated values
Total magnetic moment   1.171 μB per atom
Total DFT energy (no corrections)   -71.056 eV for the cell shown
Excess energy over the best structure of this formula in the dataset   0.3156 eV per atom
Density of states at the Fermi level   17.288 states/eV/f.u.
Mass density   10.8 g/cm³

Geometry as CIF:
```
data_NpBi2Sb
_symmetry_space_group_name_H-M 'R -3 m'
_symmetry_Int_Tables_number 166
_symmetry_space_group_name_Hall '-R 3 2"'
_cell_length_a 5.6036
_cell_length_b 5.6036
_cell_length_c 13.2084
_cell_angle_alpha 90.00
_cell_angle_beta 90.00
_cell_angle_gamma 120.00
loop_
_atom_site_label
_atom_site_type_symbol
_atom_site_fract_x
_atom_site_fract_y
_atom_site_fract_z
Np1 Np 0.0000 0.0000 0.0000
Bi1 Bi 0.0000 0.0000 0.2531
Sb1 Sb 0.0000 0.0000 0.5000
```

# 8
Np2BiSb | PBE-GGA | relaxed

Calculated values
Total magnetic moment   2.173 μB per atom
Total DFT energy (no corrections)   -34.093 eV for the cell shown
Excess energy over the best structure of this formula in the dataset   0.0286 eV per atom
Density of states at the Fermi level   13.822 states/eV/f.u.
Mass density   12.3 g/cm³

Geometry as CIF:
```
data_Np2BiSb
_symmetry_space_group_name_H-M 'P 4/m m m'
_symmetry_Int_Tables_number 123
_symmetry_space_group_name_Hall '-P 4 2'
_cell_length_a 3.6952
_cell_length_b 3.6952
_cell_length_c 7.9284
_cell_angle_alpha 90.00
_cell_angle_beta 90.00
_cell_angle_gamma 90.00
loop_
_atom_site_label
_atom_site_type_symbol
_atom_site_fract_x
_atom_site_fract_y
_atom_site_fract_z
Np1 Np 0.0000 0.0000 0.2296
Bi1 Bi 0.5000 0.5000 0.5000
Sb1 Sb 0.5000 0.5000 0.0000
```

# 9
Np2BiSb | PBE-GGA | relaxed

Calculated values
Total magnetic moment   2.094 μB per atom
Total DFT energy (no corrections)   -135.867 eV for the cell shown
Excess energy over the best structure of this formula in the dataset   0.0600 eV per atom
Density of states at the Fermi level   14.773 states/eV/f.u.
Mass density   12.4 g/cm³

Geometry as CIF:
```
data_Np2BiSb
_symmetry_space_group_name_H-M 'F m -3 m'
_symmetry_Int_Tables_number 225
_symmetry_space_group_name_Hall '-F 4 2 3'
_cell_length_a 7.5546
_cell_length_b 7.5546
_cell_length_c 7.5546
_cell_angle_alpha 90.00
_cell_angle_beta 90.00
_cell_angle_gamma 90.00
loop_
_atom_site_label
_atom_site_type_symbol
_atom_site_fract_x
_atom_site_fract_y
_atom_site_fract_z
Np1 Np 0.2500 0.2500 0.2500
Bi1 Bi 0.0000 0.0000 0.0000
Sb1 Sb 0.0000 0.0000 0.5000
```

# 10
NpBiSb | PBE-GGA | relaxed

Calculated values
Total magnetic moment   1.369 μB per atom
Total DFT energy (no corrections)   -81.510 eV for the cell shown
Excess energy over the best structure of this formula in the dataset   0.2395 eV per atom
Density of states at the Fermi level   6.756 states/eV/f.u.
Mass density   10.8 g/cm³

Geometry as CIF:
```
data_NpBiSb
_symmetry_space_group_name_H-M 'C 1 2/m 1'
_symmetry_Int_Tables_number 12
_cell_length_a 6.0787
_cell_length_b 5.9760
_cell_length_c 9.6423
_cell_angle_alpha 90.00
_cell_angle_beta 93.70
_cell_angle_gamma 90.00
loop_
_symmetry_equiv_pos_as_xyz
'x,y,z'
'-x,-y,-z'
'-x,y,-z'
'x,-y,z'
'x+1/2,y+1/2,z'
'-x+1/2,-y+1/2,-z'
'-x+1/2,y+1/2,-z'
'x+1/2,-y+1/2,z'
loop_
_atom_site_label
_atom_site_type_symbol
_atom_site_fract_x
_atom_site_fract_y
_atom_site_fract_z
Np1 Np 0.1599 0.0000 0.1022
Bi1 Bi 0.1602 0.5000 0.2124
Sb1 Sb 0.2184 0.0000 0.4470
```

# 11
NpBiSb | PBE-GGA | relaxed

Calculated values
Total magnetic moment   1.227 μB per atom
Total DFT energy (no corrections)   -41.102 eV for the cell shown
Excess energy over the best structure of this formula in the dataset   0.1817 eV per atom
Density of states at the Fermi level   7.727 states/eV/f.u.
Mass density   10.6 g/cm³

Geometry as CIF:
```
data_NpBiSb
_symmetry_space_group_name_H-M 'P -1'
_symmetry_Int_Tables_number 2
_cell_length_a 5.2482
_cell_length_b 5.2581
_cell_length_c 8.0517
_cell_angle_alpha 108.97
_cell_angle_beta 90.05
_cell_angle_gamma 119.89
loop_
_symmetry_equiv_pos_as_xyz
'x,y,z'
'-x,-y,-z'
loop_
_atom_site_label
_atom_site_type_symbol
_atom_site_fract_x
_atom_site_fract_y
_atom_site_fract_z
Np1 Np 0.0581 0.1164 0.1743
Bi1 Bi 0.2059 0.4118 0.6179
Sb1 Sb 0.3554 0.7109 0.0660
```

# 12
NpBiSb | PBE-GGA | relaxed

Calculated values
Total magnetic moment   1.518 μB per atom
Total DFT energy (no corrections)   -20.639 eV for the cell shown
Excess energy over the best structure of this formula in the dataset   0.1524 eV per atom
Density of states at the Fermi level   7.086 states/eV/f.u.
Mass density   11.2 g/cm³

Geometry as CIF:
```
data_NpBiSb
_symmetry_space_group_name_H-M 'P -6 m 2'
_symmetry_Int_Tables_number 187
_symmetry_space_group_name_Hall 'P -6 2'
_cell_length_a 5.6007
_cell_length_b 5.6007
_cell_length_c 3.1050
_cell_angle_alpha 90.00
_cell_angle_beta 90.00
_cell_angle_gamma 120.00
loop_
_atom_site_label
_atom_site_type_symbol
_atom_site_fract_x
_atom_site_fract_y
_atom_site_fract_z
Np1 Np 0.0000 0.0000 0.0000
Bi1 Bi 0.6667 0.3333 0.5000
Sb1 Sb 0.3333 0.6667 0.5000
```

Question: total DFT energy (no corrections) of number 9 (Np2BiSb)?
Answer: -135.867 eV for the cell shown

Question: Look up the total magnetic moment of the fourth one.
Answer: 0.273 μB per atom

Repeat the second record exactly.
NpBiS3 | PBE-GGA | relaxed

Calculated values
Total magnetic moment   0.755 μB per atom
Total DFT energy (no corrections)   -133.467 eV for the cell shown
Excess energy over the best structure of this formula in the dataset   0.0000 eV per atom
Density of states at the Fermi level   10.200 states/eV/f.u.
Mass density   7.6 g/cm³

Geometry as CIF:
```
data_NpBiS3
_symmetry_space_group_name_H-M 'P n m a'
_symmetry_Int_Tables_number 62
_cell_length_a 7.4376
_cell_length_b 4.1729
_cell_length_c 15.2346
_cell_angle_alpha 90.00
_cell_angle_beta 90.00
_cell_angle_gamma 90.00
loop_
_symmetry_equiv_pos_as_xyz
'x,y,z'
'-x,-y,-z'
'-x+1/2,-y,z+1/2'
'x+1/2,y,-z+1/2'
'x+1/2,-y+1/2,-z+1/2'
'-x+1/2,y+1/2,z+1/2'
'-x,y+1/2,-z'
'x,-y+1/2,z'
loop_
_atom_site_label
_atom_site_type_symbol
_atom_site_fract_x
_atom_site_fract_y
_atom_site_fract_z
Np1 Np 0.2490 0.2500 0.0282
Bi1 Bi 0.0647 0.2500 0.7740
S1 S 0.0345 0.2500 0.5935
S2 S 0.1183 0.7500 0.9340
S3 S 0.1947 0.2500 0.2170
```

Question: What is the formula in the eighth record?
Answer: Np2BiSb